No. 1
## PuGeAs3 (PBE)

Data for an optimized crystal structure of PuGeAs3.

calculated volume = 426 Å³ per cell
space-group type = Pbcm (57)
M_tot = 20.897 μB per cell
energy of formation = -1.512 eV/f.u.
final energy = -6.88 eV/atom

Cell and atoms, written as CIF:
```
data_PuGeAs3
_cell_length_a 13.3359
_cell_length_b 5.5284
_cell_length_c 5.7825
_cell_angle_alpha 90.00
_cell_angle_beta 90.00
_cell_angle_gamma 90.00
_space_group_name_H-M_alt 'P 1'
_space_group_IT_number 1
_space_group_name_Hall 'P 1'
loop_
_atom_site_label
_atom_site_type_symbol
_atom_site_fract_x
_atom_site_fract_y
_atom_site_fract_z
Pu1 Pu 0.1700 0.0054 0.2500
Pu2 Pu 0.1700 0.4946 0.7500
Pu3 Pu 0.8300 0.5054 0.2500
Pu4 Pu 0.8300 0.9946 0.7500
Ge1 Ge 0.3813 0.2500 0.0000
Ge2 Ge 0.3813 0.2500 0.5000
Ge3 Ge 0.6187 0.7500 0.0000
Ge4 Ge 0.6187 0.7500 0.5000
As1 As 0.9998 0.2500 0.0000
As2 As 0.9998 0.2500 0.5000
As3 As 0.0002 0.7500 0.0000
As4 As 0.0002 0.7500 0.5000
As5 As 0.2337 0.5093 0.2500
As6 As 0.2337 0.9907 0.7500
As7 As 0.3912 0.7085 0.7500
As8 As 0.3912 0.7915 0.2500
As9 As 0.6088 0.2085 0.7500
As10 As 0.6088 0.2915 0.2500
As11 As 0.7663 0.0093 0.2500
As12 As 0.7663 0.4907 0.7500
```



No. 2
## Pu3GeAs (PBE)

Data for an optimized crystal structure of Pu3GeAs.

calculated volume = 475 Å³ per cell
space-group type = Pnnm (58)
M_tot = 68.101 μB per cell
energy of formation = -2.567 eV/f.u.
final energy = -10.97 eV/atom

Cell and atoms, written as CIF:
```
data_Pu3GeAs
_cell_length_a 7.4132
_cell_length_b 8.6324
_cell_length_c 7.4273
_cell_angle_alpha 90.00
_cell_angle_beta 90.00
_cell_angle_gamma 90.00
_space_group_name_H-M_alt 'P 1'
_space_group_IT_number 1
_space_group_name_Hall 'P 1'
loop_
_atom_site_label
_atom_site_type_symbol
_atom_site_fract_x
_atom_site_fract_y
_atom_site_fract_z
Pu1 Pu 0.0000 0.0000 0.2477
Pu2 Pu 0.0000 0.0000 0.7523
Pu3 Pu 0.1036 0.3502 0.2491
Pu4 Pu 0.1036 0.3502 0.7509
Pu5 Pu 0.3964 0.8502 0.2509
Pu6 Pu 0.3964 0.8502 0.7491
Pu7 Pu 0.5000 0.5000 0.2523
Pu8 Pu 0.5000 0.5000 0.7477
Pu9 Pu 0.6036 0.1498 0.2509
Pu10 Pu 0.6036 0.1498 0.7491
Pu11 Pu 0.8964 0.6498 0.2491
Pu12 Pu 0.8964 0.6498 0.7509
Ge1 Ge 0.2123 0.6289 0.0000
Ge2 Ge 0.2877 0.1289 0.5000
Ge3 Ge 0.7123 0.8711 0.5000
Ge4 Ge 0.7877 0.3711 0.0000
As1 As 0.2116 0.6276 0.5000
As2 As 0.2884 0.1276 0.0000
As3 As 0.7116 0.8724 0.0000
As4 As 0.7884 0.3724 0.5000
```



No. 3
## PuGeAs2 (PBE)

Data for an optimized crystal structure of PuGeAs2.

calculated volume = 82 Å³ per cell
space-group type = P4/mmm (123)
M_tot = 5.140 μB per cell
energy of formation = -1.476 eV/f.u.
final energy = -7.43 eV/atom

Cell and atoms, written as CIF:
```
data_PuGeAs2
_cell_length_a 3.7857
_cell_length_b 3.7857
_cell_length_c 5.7413
_cell_angle_alpha 90.00
_cell_angle_beta 90.00
_cell_angle_gamma 90.00
_space_group_name_H-M_alt 'P 1'
_space_group_IT_number 1
_space_group_name_Hall 'P 1'
loop_
_atom_site_label
_atom_site_type_symbol
_atom_site_fract_x
_atom_site_fract_y
_atom_site_fract_z
Pu1 Pu 0.0000 0.0000 0.0000
Ge1 Ge 0.0000 0.0000 0.5000
As1 As 0.5000 0.5000 0.2575
As2 As 0.5000 0.5000 0.7425
```



No. 4
## PuGe2As (PBE)

Data for an optimized crystal structure of PuGe2As.

calculated volume = 78 Å³ per cell
space-group type = P4/mmm (123)
M_tot = 4.840 μB per cell
energy of formation = -1.682 eV/f.u.
final energy = -7.47 eV/atom

Cell and atoms, written as CIF:
```
data_PuGe2As
_cell_length_a 4.1894
_cell_length_b 4.1894
_cell_length_c 4.4283
_cell_angle_alpha 90.00
_cell_angle_beta 90.00
_cell_angle_gamma 90.00
_space_group_name_H-M_alt 'P 1'
_space_group_IT_number 1
_space_group_name_Hall 'P 1'
loop_
_atom_site_label
_atom_site_type_symbol
_atom_site_fract_x
_atom_site_fract_y
_atom_site_fract_z
Pu1 Pu 0.0000 0.0000 0.0000
Ge1 Ge 0.0000 0.5000 0.5000
Ge2 Ge 0.5000 0.0000 0.5000
As1 As 0.5000 0.5000 0.0000
```



No. 5
## Pu2GeAs3 (PBE)

Data for an optimized crystal structure of Pu2GeAs3.

calculated volume = 294 Å³ per cell
space-group type = C2/c (15)
M_tot = 18.025 μB per cell
energy of formation = -3.197 eV/f.u.
final energy = -8.40 eV/atom

Cell and atoms, written as CIF:
```
data_Pu2GeAs3
_cell_length_a 7.1576
_cell_length_b 7.1576
_cell_length_c 8.2157
_cell_angle_alpha 106.68
_cell_angle_beta 106.68
_cell_angle_gamma 47.38
_space_group_name_H-M_alt 'P 1'
_space_group_IT_number 1
_space_group_name_Hall 'P 1'
loop_
_atom_site_label
_atom_site_type_symbol
_atom_site_fract_x
_atom_site_fract_y
_atom_site_fract_z
Pu1 Pu 0.1630 0.1636 0.5817
Pu2 Pu 0.1636 0.1630 0.0817
Pu3 Pu 0.8364 0.8370 0.9183
Pu4 Pu 0.8370 0.8364 0.4183
Ge1 Ge 0.4996 0.5004 0.2500
Ge2 Ge 0.5004 0.4996 0.7500
As1 As 0.9995 0.0005 0.2500
As2 As 0.0005 0.9995 0.7500
As3 As 0.3263 0.3269 0.9133
As4 As 0.3269 0.3263 0.4133
As5 As 0.6731 0.6737 0.5867
As6 As 0.6737 0.6731 0.0867
```



No. 6
## Pu2GeAs3Rh4 (PBE)

Data for an optimized crystal structure of Pu2GeAs3Rh4.

calculated volume = 181 Å³ per cell
space-group type = P-4m2 (115)
M_tot = 10.763 μB per cell
energy of formation = -6.978 eV/f.u.
final energy = -8.36 eV/atom

Cell and atoms, written as CIF:
```
data_Pu2GeAs3Rh4
_cell_length_a 4.2047
_cell_length_b 4.2047
_cell_length_c 10.2373
_cell_angle_alpha 90.00
_cell_angle_beta 90.00
_cell_angle_gamma 90.00
_space_group_name_H-M_alt 'P 1'
_space_group_IT_number 1
_space_group_name_Hall 'P 1'
loop_
_atom_site_label
_atom_site_type_symbol
_atom_site_fract_x
_atom_site_fract_y
_atom_site_fract_z
Pu1 Pu 0.0000 0.5000 0.2456
Pu2 Pu 0.5000 0.0000 0.7544
Ge1 Ge 0.5000 0.5000 0.0000
As1 As 0.0000 0.0000 0.0000
As2 As 0.0000 0.5000 0.6367
As3 As 0.5000 0.0000 0.3633
Rh1 Rh 0.0000 0.0000 0.5000
Rh2 Rh 0.0000 0.5000 0.8729
Rh3 Rh 0.5000 0.0000 0.1271
Rh4 Rh 0.5000 0.5000 0.5000
```



No. 7
## Pu4GeAs2S (PBE)

Data for an optimized crystal structure of Pu4GeAs2S.

calculated volume = 196 Å³ per cell
space-group type = P2/m (10)
M_tot = 20.139 μB per cell
final energy = -10.42 eV/atom
raw formation energy = -0.99 eV per atom

Cell and atoms, written as CIF:
```
data_Pu4GeAs2S
_cell_length_a 7.1103
_cell_length_b 4.1014
_cell_length_c 7.1319
_cell_angle_alpha 90.00
_cell_angle_beta 109.43
_cell_angle_gamma 90.00
_space_group_name_H-M_alt 'P 1'
_space_group_IT_number 1
_space_group_name_Hall 'P 1'
loop_
_atom_site_label
_atom_site_type_symbol
_atom_site_fract_x
_atom_site_fract_y
_atom_site_fract_z
Pu1 Pu 0.2444 0.0000 0.2454
Pu2 Pu 0.2460 0.5000 0.7511
Pu3 Pu 0.7540 0.5000 0.2489
Pu4 Pu 0.7556 0.0000 0.7546
Ge1 Ge 0.5000 0.0000 0.0000
As1 As 0.0000 0.0000 0.5000
As2 As 0.5000 0.5000 0.5000
S1 S 0.0000 0.5000 0.0000
```



No. 8
## Pu4GeAsSe2 (PBE)

Data for an optimized crystal structure of Pu4GeAsSe2.

calculated volume = 202 Å³ per cell
space-group type = P2/m (10)
M_tot = 0.110 μB per cell
final energy = -10.26 eV/atom
raw formation energy = -1.06 eV per atom

Cell and atoms, written as CIF:
```
data_Pu4GeAsSe2
_cell_length_a 7.2007
_cell_length_b 4.1345
_cell_length_c 7.2075
_cell_angle_alpha 90.00
_cell_angle_beta 109.45
_cell_angle_gamma 90.00
_space_group_name_H-M_alt 'P 1'
_space_group_IT_number 1
_space_group_name_Hall 'P 1'
loop_
_atom_site_label
_atom_site_type_symbol
_atom_site_fract_x
_atom_site_fract_y
_atom_site_fract_z
Pu1 Pu 0.2477 0.0000 0.2512
Pu2 Pu 0.2501 0.5000 0.7450
Pu3 Pu 0.7499 0.5000 0.2550
Pu4 Pu 0.7523 0.0000 0.7488
Ge1 Ge 0.5000 0.5000 0.5000
As1 As 0.0000 0.0000 0.5000
Se1 Se 0.0000 0.5000 0.0000
Se2 Se 0.5000 0.0000 0.0000
```



No. 9
## RbGe2As2 (PBE)

Data for an optimized crystal structure of RbGe2As2.

calculated volume = 261 Å³ per cell
space-group type = P4/mbm (127)
M_tot = 0.000 μB per cell
energy of formation = 0.430 eV/f.u.
final energy = -3.81 eV/atom

Cell and atoms, written as CIF:
```
data_RbGe2As2
_cell_length_a 8.5615
_cell_length_b 8.5615
_cell_length_c 3.5542
_cell_angle_alpha 90.00
_cell_angle_beta 90.00
_cell_angle_gamma 90.00
_space_group_name_H-M_alt 'P 1'
_space_group_IT_number 1
_space_group_name_Hall 'P 1'
loop_
_atom_site_label
_atom_site_type_symbol
_atom_site_fract_x
_atom_site_fract_y
_atom_site_fract_z
Rb1 Rb 0.0000 0.0000 0.0000
Rb2 Rb 0.5000 0.5000 0.0000
Ge1 Ge 0.1247 0.3753 0.5000
Ge2 Ge 0.3753 0.8753 0.5000
Ge3 Ge 0.6247 0.1247 0.5000
Ge4 Ge 0.8753 0.6247 0.5000
As1 As 0.1244 0.6244 0.0000
As2 As 0.3756 0.1244 0.0000
As3 As 0.6244 0.8756 0.0000
As4 As 0.8756 0.3756 0.0000
```



No. 10
## RbGeAs (PBE)

Data for an optimized crystal structure of RbGeAs.

calculated volume = 90 Å³ per cell
space-group type = P3m1 (156)
M_tot = 0.000 μB per cell
energy of formation = -0.839 eV/f.u.
final energy = -3.69 eV/atom

Cell and atoms, written as CIF:
```
data_RbGeAs
_cell_length_a 4.0055
_cell_length_b 4.0055
_cell_length_c 6.5022
_cell_angle_alpha 90.00
_cell_angle_beta 90.00
_cell_angle_gamma 120.00
_space_group_name_H-M_alt 'P 1'
_space_group_IT_number 1
_space_group_name_Hall 'P 1'
loop_
_atom_site_label
_atom_site_type_symbol
_atom_site_fract_x
_atom_site_fract_y
_atom_site_fract_z
Rb1 Rb 0.0000 0.0000 0.0000
Ge1 Ge 0.3333 0.6667 0.4207
As1 As 0.6667 0.3333 0.6038
```



No. 11
## Rb5Ge4As2 (PBE)

Data for an optimized crystal structure of Rb5Ge4As2.

calculated volume = 442 Å³ per cell
space-group type = C2/m (12)
M_tot = 0.000 μB per cell
energy of formation = -0.031 eV/f.u.
final energy = -2.97 eV/atom

Cell and atoms, written as CIF:
```
data_Rb5Ge4As2
_cell_length_a 7.5430
_cell_length_b 7.5430
_cell_length_c 8.2818
_cell_angle_alpha 102.73
_cell_angle_beta 102.73
_cell_angle_gamma 78.24
_space_group_name_H-M_alt 'P 1'
_space_group_IT_number 1
_space_group_name_Hall 'P 1'
loop_
_atom_site_label
_atom_site_type_symbol
_atom_site_fract_x
_atom_site_fract_y
_atom_site_fract_z
Rb1 Rb 0.0000 0.0000 0.0000
Rb2 Rb 0.1844 0.6299 0.6634
Rb3 Rb 0.3701 0.8156 0.3366
Rb4 Rb 0.6299 0.1844 0.6634
Rb5 Rb 0.8156 0.3701 0.3366
Ge1 Ge 0.2841 0.2841 0.9851
Ge2 Ge 0.3253 0.3253 0.2720
Ge3 Ge 0.6747 0.6747 0.7280
Ge4 Ge 0.7159 0.7159 0.0149
As1 As 0.1696 0.1696 0.7060
As2 As 0.8304 0.8304 0.2940
```



No. 12
## RbGe3As2 (PBE)

Data for an optimized crystal structure of RbGe3As2.

calculated volume = 312 Å³ per cell
space-group type = C2/m (12)
M_tot = 0.000 μB per cell
energy of formation = -0.498 eV/f.u.
final energy = -4.10 eV/atom

Cell and atoms, written as CIF:
```
data_RbGe3As2
_cell_length_a 8.6592
_cell_length_b 8.6592
_cell_length_c 9.9468
_cell_angle_alpha 102.22
_cell_angle_beta 102.22
_cell_angle_gamma 25.34
_space_group_name_H-M_alt 'P 1'
_space_group_IT_number 1
_space_group_name_Hall 'P 1'
loop_
_atom_site_label
_atom_site_type_symbol
_atom_site_fract_x
_atom_site_fract_y
_atom_site_fract_z
Rb1 Rb 0.1218 0.1218 0.0475
Rb2 Rb 0.8782 0.8782 0.9525
Ge1 Ge 0.0596 0.0596 0.4159
Ge2 Ge 0.2921 0.2921 0.5772
Ge3 Ge 0.3753 0.3753 0.3444
Ge4 Ge 0.6247 0.6247 0.6556
Ge5 Ge 0.7079 0.7079 0.4228
Ge6 Ge 0.9404 0.9404 0.5841
As1 As 0.2145 0.2145 0.7688
As2 As 0.4964 0.4964 0.7511
As3 As 0.5036 0.5036 0.2489
As4 As 0.7855 0.7855 0.2312
```